Entry 1:
{"formula": "NbSi3I", "functional": "PBE", "state": "relaxed", "formation_energy_uncorrected_ev_per_atom": 0.717, "total_magnetization_mub_per_cell": 0.0, "dos_ef_per_ev_fu": 10.02, "e_above_lowest_polymorph_mev_per_atom": 0, "total_energy_ev_per_cell": -24.3, "spacegroup": "Pm-3m (221)", "lattice": [[-1.364, 1.000, -4.738], [-4.136, -2.801, 0.600], [-2.518, 4.058, 1.582]], "species": ["Si", "Si", "Si", "I", "Nb"], "fractional_positions": [[0.000, 0.000, 0.500], [0.000, 0.500, 0.000], [0.500, 0.000, 0.000], [0.500, 0.500, 0.500], [0.000, 0.000, 0.000]]}

Entry 2:
{"formula": "CaZr2AuN", "functional": "PBE", "state": "relaxed", "formation_energy_uncorrected_ev_per_atom": -0.768, "total_magnetization_mub_per_cell": 0.0, "dos_ef_per_ev_fu": 4.11, "total_energy_ev_per_cell": -34.5, "spacegroup": "P4/mmm (123)", "lattice": [[4.466, 0.000, 0.000], [0.000, 4.466, 0.000], [0.000, 0.000, 4.773]], "species": ["Au", "N", "Zr", "Zr", "Ca"], "fractional_positions": [[0.500, 0.500, 0.500], [0.000, 0.000, 0.000], [0.500, 0.000, 0.000], [0.000, 0.500, 0.000], [0.000, 0.000, 0.500]]}